1.
Compound: Cr2CoP
Source: Alexandria
Functional: PBE
Structure: optimized geometry

a = 2.6974 Å, b = 2.6974 Å, c = 6.1016 Å
α = 90.00°, β = 90.00°, γ = 90.00°
Element x y z (fractional)
Cr: 0.0000 0.0000 0.2320
Cr: 0.0000 0.0000 0.7680
Co: 0.5000 0.5000 0.5000
P: 0.5000 0.5000 0.0000

The energy relative to the elements is -37 kJ/mol of formula units. As for the energy: -8.04 eV per atom. Its mass density is 7.3 g/cm³. Its space-group type is P4/mmm (123).


2.
Compound: Tm2NpCo9
Source: Alexandria
Functional: PBE
Structure: optimized geometry

a = 8.5594 Å, b = 8.5594 Å, c = 8.5594 Å
α = 33.44°, β = 33.44°, γ = 33.44°
Element x y z (fractional)
Tm: 0.1402 0.1402 0.1402
Tm: 0.8598 0.8598 0.8598
Np: 0.0000 0.0000 0.0000
Co: 0.0781 0.5840 0.5840
Co: 0.3349 0.3349 0.3349
Co: 0.4160 0.4160 0.9219
Co: 0.4160 0.9219 0.4160
Co: 0.5000 0.5000 0.5000
Co: 0.5840 0.0781 0.5840
Co: 0.5840 0.5840 0.0781
Co: 0.6651 0.6651 0.6651
Co: 0.9219 0.4160 0.4160

The energy relative to the elements is -171 kJ/mol of formula units. As for the energy: -7.30 eV per atom. Its mass density is 10.8 g/cm³. Its space-group type is R-3m (166).


3.
Compound: CeHoHgPb
Source: Alexandria
Functional: PBE
Structure: optimized geometry

a = 5.6028 Å, b = 5.6028 Å, c = 5.6028 Å
α = 126.12°, β = 126.12°, γ = 79.69°
Element x y z (fractional)
Ce: 0.0000 0.0000 0.0000
Ho: 0.5000 0.5000 0.0000
Hg: 0.2500 0.7500 0.5000
Pb: 0.7500 0.2500 0.5000

The energy relative to the elements is -150 kJ/mol of formula units. As for the energy: -4.02 eV per atom. Its mass density is 10.7 g/cm³. Its space-group type is I-4m2 (119).


4.
Compound: Rb6TeSI2
Source: Alexandria
Functional: PBE
Structure: optimized geometry

a = 9.0666 Å, b = 9.0666 Å, c = 9.1643 Å
α = 118.89°, β = 118.89°, γ = 61.03°
Element x y z (fractional)
Rb: 0.1682 0.6841 0.6626
Rb: 0.2346 0.2346 0.8623
Rb: 0.3159 0.8318 0.3374
Rb: 0.6841 0.1682 0.6626
Rb: 0.7654 0.7654 0.1377
Rb: 0.8318 0.3159 0.3374
Te: 0.5000 0.5000 0.0000
S: 0.0000 0.0000 0.5000
I: 0.2537 0.2537 0.2851
I: 0.7463 0.7463 0.7149

As for the energy: -2.76 eV per atom. The energy relative to the elements, uncorrected comes out at -1.14 eV/atom. Its mass density is 2.8 g/cm³. Its space-group type is C2/m (12).


5.
Compound: Cr2FeCo
Source: Alexandria
Functional: PBE
Structure: optimized geometry

a = 2.4297 Å, b = 3.9946 Å, c = 4.7724 Å
α = 90.00°, β = 103.23°, γ = 90.00°
Element x y z (fractional)
Cr: 0.2394 0.0000 0.2488
Cr: 0.7606 0.0000 0.7512
Fe: 0.0000 0.5000 0.5000
Co: 0.5000 0.5000 0.0000

The energy relative to the elements is 48 kJ/mol of formula units. As for the energy: -8.58 eV per atom. Its mass density is 8.1 g/cm³. Its space-group type is P2/m (10).


6.
Compound: KTcN2
Source: Alexandria
Functional: PBE
Structure: optimized geometry

a = 4.0565 Å, b = 4.0565 Å, c = 4.0565 Å
α = 60.00°, β = 60.00°, γ = 60.00°
Element x y z (fractional)
K: 0.0000 0.0000 0.0000
Tc: 0.5000 0.5000 0.5000
N: 0.2500 0.2500 0.2500
N: 0.7500 0.7500 0.7500

As for the energy: -5.41 eV per atom. The energy relative to the elements, uncorrected comes out at 1.62 eV/atom. Its mass density is 5.8 g/cm³. Its space-group type is Fm-3m (225).


7.
Compound: Tm4Te5C
Source: Alexandria
Functional: PBE
Structure: optimized geometry

a = 9.0482 Å, b = 9.0482 Å, c = 8.3532 Å
α = 96.51°, β = 96.51°, γ = 24.94°
Element x y z (fractional)
Tm: 0.0115 0.0115 0.3018
Tm: 0.3564 0.3564 0.4264
Tm: 0.6436 0.6436 0.5736
Tm: 0.9885 0.9885 0.6982
Te: 0.1517 0.1517 0.8524
Te: 0.1798 0.1798 0.3184
Te: 0.5000 0.5000 0.0000
Te: 0.8202 0.8202 0.6816
Te: 0.8483 0.8483 0.1476
C: 0.5000 0.5000 0.5000

As for the energy: -5.19 eV per atom. The energy relative to the elements, uncorrected comes out at -0.91 eV/atom. Its mass density is 7.7 g/cm³. Its space-group type is C2/m (12).


8.
Compound: SmAl2Cu2Si
Source: Alexandria
Functional: PBE
Structure: optimized geometry

a = 4.4576 Å, b = 4.4576 Å, c = 5.5590 Å
α = 90.00°, β = 90.00°, γ = 90.00°
Element x y z (fractional)
Sm: 0.0000 0.0000 0.0000
Al: 0.5000 0.5000 0.2347
Al: 0.5000 0.5000 0.7653
Cu: 0.0000 0.5000 0.5000
Cu: 0.5000 0.0000 0.5000
Si: 0.0000 0.0000 0.5000

As for the energy: -4.41 eV per atom. The energy relative to the elements, uncorrected comes out at -0.11 eV/atom. Its mass density is 5.4 g/cm³. Its space-group type is P4/mmm (123).


9.
Compound: LaHf2BeNb
Source: Alexandria
Functional: PBE
Structure: optimized geometry

a = 5.0630 Å, b = 5.0630 Å, c = 4.9492 Å
α = 90.00°, β = 90.00°, γ = 90.00°
Element x y z (fractional)
La: 0.0000 0.0000 0.0000
Hf: 0.0000 0.5000 0.5000
Hf: 0.5000 0.0000 0.5000
Be: 0.5000 0.5000 0.0000
Nb: 0.5000 0.5000 0.5000

The energy relative to the elements is 344 kJ/mol of formula units. As for the energy: -7.01 eV per atom. Its mass density is 7.8 g/cm³. Its space-group type is P4/mmm (123).


10.
Compound: Si2WCl
Source: Alexandria
Functional: PBE
Structure: optimized geometry

a = 2.9622 Å, b = 2.9622 Å, c = 7.8508 Å
α = 90.00°, β = 90.00°, γ = 106.42°
Element x y z (fractional)
Si: 0.0000 0.0000 0.2294
Si: 0.0000 0.0000 0.7706
W: 0.5000 0.5000 0.0000
Cl: 0.5000 0.5000 0.5000

As for the energy: -6.02 eV per atom. The energy relative to the elements, uncorrected comes out at 0.39 eV/atom. Its mass density is 6.9 g/cm³. Its space-group type is Cmmm (65).


11.
Compound: UNiRh2
Source: Alexandria
Functional: PBE
Structure: optimized geometry

a = 4.0057 Å, b = 4.0057 Å, c = 3.8726 Å
α = 90.00°, β = 90.00°, γ = 90.00°
Element x y z (fractional)
U: 0.0000 0.0000 0.0000
Ni: 0.5000 0.5000 0.0000
Rh: 0.0000 0.5000 0.5000
Rh: 0.5000 0.0000 0.5000

The energy relative to the elements is -227 kJ/mol of formula units. As for the energy: -8.53 eV per atom. Its mass density is 13.4 g/cm³. Its space-group type is P4/mmm (123).


12.
Compound: SrTcPd2
Source: Alexandria
Functional: PBE
Structure: optimized geometry

a = 9.0517 Å, b = 9.0517 Å, c = 9.0517 Å
α = 147.16°, β = 147.16°, γ = 47.13°
Element x y z (fractional)
Sr: 0.0000 0.0000 0.0000
Sr: 0.7500 0.2500 0.5000
Tc: 0.2500 0.7500 0.5000
Tc: 0.5000 0.5000 0.0000
Pd: 0.3206 0.6250 0.1956
Pd: 0.3750 0.5706 0.6956
Pd: 0.4294 0.1250 0.8044
Pd: 0.8750 0.6794 0.3044

The energy relative to the elements is 190 kJ/mol of formula units. As for the energy: -5.12 eV per atom. Its mass density is 6.1 g/cm³. Its space-group type is I-42d (122).


13.
Compound: PmPr2Nd4Er
Source: Alexandria
Functional: PBE
Structure: optimized geometry

a = 5.1748 Å, b = 5.1872 Å, c = 10.3624 Å
α = 90.00°, β = 90.09°, γ = 90.00°
Element x y z (fractional)
Pm: 0.0000 0.0000 0.0000
Pr: 0.0000 0.0000 0.5000
Pr: 0.5000 0.5000 0.0000
Nd: 0.0002 0.5000 0.2526
Nd: 0.9998 0.5000 0.7474
Nd: 0.4999 0.0000 0.2519
Nd: 0.5001 0.0000 0.7481
Er: 0.5000 0.5000 0.5000

The energy relative to the elements is 10 kJ/mol of formula units. As for the energy: -4.73 eV per atom. Its mass density is 7.0 g/cm³. Its space-group type is P2/m (10).


14.
Compound: PmY5Tm4
Source: Alexandria
Functional: PBE
Structure: optimized geometry

a = 5.4195 Å, b = 7.0254 Å, c = 8.7503 Å
α = 89.95°, β = 72.04°, γ = 89.94°
Element x y z (fractional)
Pm: 0.0000 0.0000 0.0000
Y: 0.1993 0.4956 0.6016
Y: 0.3881 0.7457 0.2232
Y: 0.6093 0.7467 0.7814
Y: 0.7980 0.9988 0.4034
Y: 0.9978 0.4965 0.0040
Tm: 0.1990 0.9990 0.6024
Tm: 0.3882 0.2494 0.2230
Tm: 0.6095 0.2476 0.7814
Tm: 0.7989 0.4953 0.4016

The energy relative to the elements is 45 kJ/mol of formula units. As for the energy: -5.45 eV per atom. Its mass density is 6.6 g/cm³. Its space-group type is P1 (1).


15.
Compound: Ho6Ga2Au
Source: Alexandria
Functional: PBE
Structure: optimized geometry

a = 6.2291 Å, b = 8.1715 Å, c = 11.0252 Å
α = 90.00°, β = 120.03°, γ = 90.00°
Element x y z (fractional)
Ho: 0.0787 0.1619 0.4393
Ho: 0.0787 0.3381 0.9393
Ho: 0.3254 0.6892 0.4368
Ho: 0.3254 0.8108 0.9368
Ho: 0.4122 0.0411 0.2747
Ho: 0.4122 0.4589 0.7747
Ho: 0.5878 0.5411 0.2253
Ho: 0.5878 0.9589 0.7253
Ho: 0.6746 0.1892 0.0632
Ho: 0.6746 0.3108 0.5632
Ho: 0.9213 0.6619 0.0607
Ho: 0.9213 0.8381 0.5607
Ga: 0.1873 0.1257 0.7547
Ga: 0.1873 0.3743 0.2547
Ga: 0.8127 0.6257 0.7453
Ga: 0.8127 0.8743 0.2453
Au: 0.0000 0.0000 0.0000
Au: 0.0000 0.5000 0.5000

The energy relative to the elements is -322 kJ/mol of formula units. As for the energy: -4.46 eV per atom. Its mass density is 9.1 g/cm³. Its space-group type is P2_1/c (14).


16.
Compound: GeAsSe2N
Source: Alexandria
Functional: PBE
Structure: optimized geometry

a = 4.5707 Å, b = 4.5707 Å, c = 4.2998 Å
α = 90.00°, β = 90.00°, γ = 90.00°
Element x y z (fractional)
Ge: 0.0000 0.0000 0.0000
As: 0.5000 0.5000 0.0000
Se: 0.0000 0.5000 0.5000
Se: 0.5000 0.0000 0.5000
N: 0.5000 0.5000 0.5000

As for the energy: -4.09 eV per atom. The energy relative to the elements, uncorrected comes out at 0.82 eV/atom. Its mass density is 5.9 g/cm³. Its space-group type is P4/mmm (123).


17.
Compound: CsK2ScCl6
Source: Alexandria
Functional: PBE
Structure: optimized geometry

a = 8.1184 Å, b = 8.1184 Å, c = 8.1184 Å
α = 57.01°, β = 57.01°, γ = 57.01°
Element x y z (fractional)
Cs: 0.0000 0.0000 0.0000
K: 0.2043 0.2043 0.2043
K: 0.7196 0.7196 0.7196
Sc: 0.5156 0.5156 0.5156
Cl: 0.1848 0.4297 0.7298
Cl: 0.3408 0.8541 0.5822
Cl: 0.4297 0.7298 0.1848
Cl: 0.5822 0.3408 0.8541
Cl: 0.7298 0.1848 0.4297
Cl: 0.8541 0.5822 0.3408

As for the energy: -4.10 eV per atom. The energy relative to the elements, uncorrected comes out at -2.05 eV/atom. Its mass density is 2.2 g/cm³. Its space-group type is R3 (146).


18.
Compound: K2UNbO6
Source: Alexandria
Functional: PBE
Structure: optimized geometry

a = 5.9346 Å, b = 5.9346 Å, c = 5.9346 Å
α = 60.00°, β = 60.00°, γ = 60.00°
Element x y z (fractional)
K: 0.2500 0.2500 0.2500
K: 0.7500 0.7500 0.7500
U: 0.0000 0.0000 0.0000
Nb: 0.5000 0.5000 0.5000
O: 0.2584 0.2584 0.7416
O: 0.2584 0.7416 0.2584
O: 0.2584 0.7416 0.7416
O: 0.7416 0.2584 0.2584
O: 0.7416 0.2584 0.7416
O: 0.7416 0.7416 0.2584

As for the energy: -8.00 eV per atom. The energy relative to the elements, uncorrected comes out at -2.67 eV/atom. Its mass density is 5.7 g/cm³. Its space-group type is Fm-3m (225).


19.
Compound: KCS3
Source: Alexandria
Functional: PBE
Structure: optimized geometry

a = 5.3072 Å, b = 7.1011 Å, c = 6.6738 Å
α = 90.00°, β = 90.18°, γ = 90.00°
Element x y z (fractional)
K: 0.2505 0.2500 0.1444
K: 0.7495 0.7500 0.8556
C: 0.2521 0.7500 0.3991
C: 0.7479 0.2500 0.6009
S: 0.2506 0.7500 0.1442
S: 0.2540 0.5475 0.5387
S: 0.2540 0.9525 0.5387
S: 0.7460 0.0475 0.4613
S: 0.7460 0.4525 0.4613
S: 0.7494 0.2500 0.8558

As for the energy: -4.69 eV per atom. The energy relative to the elements, uncorrected comes out at -0.15 eV/atom. Its mass density is 1.9 g/cm³. Its space-group type is P2_1/m (11).


20.
Compound: MgMnMo
Source: Alexandria
Functional: PBE
Structure: optimized geometry

a = 5.3964 Å, b = 5.3964 Å, c = 5.3964 Å
α = 147.20°, β = 147.20°, γ = 47.07°
Element x y z (fractional)
Mg: 0.0000 0.0000 0.0000
Mn: 0.3196 0.3196 0.0000
Mo: 0.7007 0.7007 0.0000

The energy relative to the elements is 65 kJ/mol of formula units. As for the energy: -6.97 eV per atom. Its mass density is 6.3 g/cm³. Its space-group type is I4mm (107).